[1]
# PBE BaCrCu, relaxed
# D(E_F) (states/eV/f.u.): 1.51
# Electronic total energy (eV/atom): -4.7204
# ΔE_f (eV per atom): 0.4937
# Size of the total moment (μB per formula unit): 4.72
data_BaCrCu
_cell_length_a 4.5806
_cell_length_b 4.5806
_cell_length_c 4.7188
_cell_angle_alpha 90.00
_cell_angle_beta 90.00
_cell_angle_gamma 120.00
_space_group_name_H-M_alt 'P -6 m 2'
_space_group_IT_number 187
_space_group_name_Hall 'P -6 2'
loop_
_atom_site_label
_atom_site_type_symbol
_atom_site_fract_x
_atom_site_fract_y
_atom_site_fract_z
Ba1 Ba 0.0000 0.0000 0.0000
Cr1 Cr 0.6667 0.3333 0.5000
Cu1 Cu 0.3333 0.6667 0.5000



[2]
# PBE ErTm3Cu4, relaxed
# D(E_F) (states/eV/f.u.): 4.36
# Electronic total energy (eV/atom): -4.5838
# ΔE_f (eV per atom): -0.2885
# Size of the total moment (μB per formula unit): 0.00
data_ErTm3Cu4
_cell_length_a 3.4036
_cell_length_b 4.8516
_cell_length_c 9.7026
_cell_angle_alpha 90.00
_cell_angle_beta 90.00
_cell_angle_gamma 90.00
_space_group_name_H-M_alt 'P m m m'
_space_group_IT_number 47
loop_
_space_group_symop_operation_xyz
'x,y,z'
'-x,-y,-z'
'-x,-y,z'
'x,y,-z'
'x,-y,-z'
'-x,y,z'
'-x,y,-z'
'x,-y,z'
loop_
_atom_site_label
_atom_site_type_symbol
_atom_site_fract_x
_atom_site_fract_y
_atom_site_fract_z
Er1 Er 0.0000 0.0000 0.0000
Tm1 Tm 0.0000 0.0000 0.5000
Tm2 Tm 0.0000 0.5000 0.2503
Cu1 Cu 0.5000 0.0000 0.2508
Cu2 Cu 0.5000 0.5000 0.0000
Cu3 Cu 0.5000 0.5000 0.5000